Here is LiSb2W at its PBEsol-relaxed geometry from Alexandria. Energies are from SCAN.

Results
The value obtained for the total magnetization is 0.0 μB per formula unit. The density of states at the Fermi level comes out at 2.28 states/eV/cell. Its crystal system is tetragonal. The value obtained for the formation energy (no corrections) is 32.9 kJ/mol of atoms. For the volume, the calculation gives 18.9 Å³/atom. The relative energy among the computed polymorphs is 64 meV/atom.

abc: 3.707 3.707 5.500
angles: 90.00 90.00 90.00
Element x y z (fractional)
Li 0.000 0.000 0.000
Sb 0.000 0.000 0.521
Sb 0.500 0.500 0.185
W 0.500 0.500 0.705


Here is GeTe3Pb at its PBEsol-relaxed geometry from Alexandria. Energies are from SCAN.

Results
The value obtained for the total magnetization is 0.0 μB per formula unit. The density of states at the Fermi level comes out at 4.42 states/eV/cell. Its crystal system is cubic. The value obtained for the formation energy (no corrections) is 81.6 kJ/mol of atoms. For the volume, the calculation gives 37.1 Å³/atom.

abc: 5.705 5.705 5.705
angles: 90.00 90.00 90.00
Element x y z (fractional)
Ge 0.000 0.000 0.000
Te 0.000 0.500 0.500
Te 0.500 0.000 0.500
Te 0.500 0.500 0.000
Pb 0.500 0.500 0.500


Here is SrAs2S at its PBEsol-relaxed geometry from Alexandria. Energies are from SCAN.

Results
The value obtained for the total magnetization is 0.0 μB per formula unit. The density of states at the Fermi level comes out at 8.21 states/eV/cell. Its crystal system is tetragonal. The value obtained for the formation energy (no corrections) is -29.2 kJ/mol of atoms. For the volume, the calculation gives 23.5 Å³/atom.

abc: 8.194 8.194 5.592
angles: 90.00 90.00 90.00
Element x y z (fractional)
Sr 0.000 0.000 0.000
Sr 0.000 0.500 0.250
Sr 0.500 0.000 0.750
Sr 0.500 0.500 0.500
As 0.203 0.750 0.625
As 0.250 0.203 0.375
As 0.250 0.297 0.875
As 0.297 0.750 0.125
As 0.703 0.250 0.125
As 0.750 0.703 0.875
As 0.750 0.797 0.375
As 0.797 0.250 0.625
S 0.000 0.000 0.500
S 0.000 0.500 0.750
S 0.500 0.000 0.250
S 0.500 0.500 0.000


Here is SrHfCoI2 at its PBEsol-relaxed geometry from Alexandria. Energies are from SCAN.

Results
The value obtained for the total magnetization is 0.9 μB per formula unit. The density of states at the Fermi level comes out at 2.10 states/eV/cell. Its crystal system is tetragonal. The value obtained for the formation energy (no corrections) is 92.6 kJ/mol of atoms. For the volume, the calculation gives 36.9 Å³/atom.

abc: 5.953 5.953 5.209
angles: 90.00 90.00 90.00
Element x y z (fractional)
Sr 0.000 0.000 0.000
Hf 0.500 0.500 0.500
Co 0.000 0.000 0.500
I 0.000 0.500 0.000
I 0.500 0.000 0.000


Here is Ba2TaTl at its PBEsol-relaxed geometry from Alexandria. Energies are from SCAN.

Results
The formation energy comes out at 0.68 eV/atom. The value obtained for the total magnetization is 4.0 μB per formula unit. The density of states at the Fermi level comes out at 17.76 states/eV/cell. Its crystal system is cubic. For the volume, the calculation gives 30.7 Å³/atom. The relative energy among the computed polymorphs is 0 meV/atom.

abc: 7.889 7.889 7.889
angles: 90.00 90.00 90.00
Element x y z (fractional)
Ba 0.000 0.000 0.000
Ba 0.000 0.500 0.500
Ba 0.250 0.250 0.250
Ba 0.250 0.750 0.750
Ba 0.500 0.000 0.500
Ba 0.500 0.500 0.000
Ba 0.750 0.250 0.750
Ba 0.750 0.750 0.250
Ta 0.250 0.250 0.750
Ta 0.250 0.750 0.250
Ta 0.750 0.250 0.250
Ta 0.750 0.750 0.750
Tl 0.000 0.000 0.500
Tl 0.000 0.500 0.000
Tl 0.500 0.000 0.000
Tl 0.500 0.500 0.500


Here is CuNi2Os at its PBEsol-relaxed geometry from Alexandria. Energies are from SCAN.

Results
The formation energy comes out at 0.30 eV/atom. The value obtained for the total magnetization is 0.0 μB per formula unit. The density of states at the Fermi level comes out at 9.95 states/eV/cell. Its crystal system is tetragonal. For the volume, the calculation gives 11.5 Å³/atom. The relative energy among the computed polymorphs is 185 meV/atom.

abc: 3.598 3.598 7.112
angles: 90.00 90.00 90.00
Element x y z (fractional)
Cu 0.000 0.000 0.000
Cu 0.500 0.500 0.500
Ni 0.000 0.000 0.500
Ni 0.000 0.500 0.250
Ni 0.500 0.000 0.750
Ni 0.500 0.500 0.000
Os 0.000 0.500 0.750
Os 0.500 0.000 0.250


Here is SiPt3 at its PBEsol-relaxed geometry from Alexandria. Energies are from SCAN.

Results
The value obtained for the total magnetization is 0.0 μB per formula unit. The density of states at the Fermi level comes out at 2.79 states/eV/cell. Its crystal system is orthorhombic. The value obtained for the formation energy (no corrections) is -53.5 kJ/mol of atoms. For the volume, the calculation gives 14.5 Å³/atom.

abc: 5.554 7.629 5.476
angles: 90.00 90.00 90.00
Element x y z (fractional)
Si 0.067 0.250 0.003
Si 0.433 0.750 0.503
Si 0.567 0.250 0.497
Si 0.933 0.750 0.997
Pt 0.010 0.750 0.427
Pt 0.195 0.541 0.805
Pt 0.195 0.959 0.805
Pt 0.305 0.041 0.305
Pt 0.305 0.459 0.305
Pt 0.490 0.250 0.927
Pt 0.510 0.750 0.073
Pt 0.695 0.541 0.695
Pt 0.695 0.959 0.695
Pt 0.805 0.041 0.195
Pt 0.805 0.459 0.195
Pt 0.990 0.250 0.573


Here is LaCu2Ni at its PBEsol-relaxed geometry from Alexandria. Energies are from SCAN.

Results
The formation energy comes out at -0.15 eV/atom. The value obtained for the total magnetization is 0.0 μB per formula unit. The density of states at the Fermi level comes out at 6.10 states/eV/cell. Its crystal system is monoclinic. For the volume, the calculation gives 17.5 Å³/atom.

abc: 7.147 4.088 5.310
angles: 90.00 115.66 90.00
Element x y z (fractional)
La 0.000 0.000 0.000
La 0.500 0.500 0.000
Cu 0.198 0.000 0.594
Cu 0.302 0.500 0.406
Cu 0.698 0.500 0.594
Cu 0.802 0.000 0.406
Ni 0.000 0.500 0.500
Ni 0.500 0.000 0.500


Here is MoIrCl2 at its PBEsol-relaxed geometry from Alexandria. Energies are from SCAN.

Results
The value obtained for the total magnetization is 0.0 μB per formula unit. The density of states at the Fermi level comes out at 2.58 states/eV/cell. Its crystal system is tetragonal. The value obtained for the formation energy (no corrections) is 108.3 kJ/mol of atoms. For the volume, the calculation gives 14.4 Å³/atom. The relative energy among the computed polymorphs is 1416 meV/atom.

abc: 3.039 3.039 6.236
angles: 90.00 90.00 90.00
Element x y z (fractional)
Mo 0.000 0.000 0.000
Ir 0.000 0.000 0.500
Cl 0.500 0.500 0.229
Cl 0.500 0.500 0.771


Here is In2CuAu at its PBEsol-relaxed geometry from Alexandria. Energies are from SCAN.

Results
The formation energy comes out at -0.12 eV/atom. The value obtained for the total magnetization is 0.0 μB per formula unit. The density of states at the Fermi level comes out at 1.17 states/eV/cell. Its crystal system is monoclinic. For the volume, the calculation gives 18.9 Å³/atom.

abc: 3.539 4.126 5.468
angles: 90.00 108.66 90.00
Element x y z (fractional)
In 0.000 0.000 0.000
In 0.304 0.500 0.613
Cu 0.741 0.000 0.482
Au 0.581 0.500 0.165


Here is ScFe2Mo at its PBEsol-relaxed geometry from Alexandria. Energies are from SCAN.

Results
The formation energy comes out at 0.12 eV/atom. The value obtained for the total magnetization is 1.4 μB per formula unit. The density of states at the Fermi level comes out at 3.03 states/eV/cell. Its crystal system is tetragonal. For the volume, the calculation gives 13.4 Å³/atom.

abc: 4.284 4.284 2.910
angles: 90.00 90.00 90.00
Element x y z (fractional)
Sc 0.000 0.000 0.000
Fe 0.000 0.500 0.500
Fe 0.500 0.000 0.500
Mo 0.500 0.500 0.000


Here is MnTlSe2N at its PBEsol-relaxed geometry from Alexandria. Energies are from SCAN.

Results
The value obtained for the total magnetization is 7.1 μB per formula unit. The density of states at the Fermi level comes out at 1.30 states/eV/cell. Its crystal system is tetragonal. The value obtained for the formation energy (no corrections) is 96.3 kJ/mol of atoms. For the volume, the calculation gives 23.8 Å³/atom. The relative energy among the computed polymorphs is 1004 meV/atom.

abc: 5.360 5.360 4.141
angles: 90.00 90.00 90.00
Element x y z (fractional)
Mn 0.000 0.000 0.000
Tl 0.500 0.500 0.500
Se 0.000 0.500 0.500
Se 0.500 0.000 0.500
N 0.500 0.500 0.000


Please write out number 3 again, unchanged.
Here is SrAs2S at its PBEsol-relaxed geometry from Alexandria. Energies are from SCAN.

Results
The value obtained for the total magnetization is 0.0 μB per formula unit. The density of states at the Fermi level comes out at 8.21 states/eV/cell. Its crystal system is tetragonal. The value obtained for the formation energy (no corrections) is -29.2 kJ/mol of atoms. For the volume, the calculation gives 23.5 Å³/atom.

abc: 8.194 8.194 5.592
angles: 90.00 90.00 90.00
Element x y z (fractional)
Sr 0.000 0.000 0.000
Sr 0.000 0.500 0.250
Sr 0.500 0.000 0.750
Sr 0.500 0.500 0.500
As 0.203 0.750 0.625
As 0.250 0.203 0.375
As 0.250 0.297 0.875
As 0.297 0.750 0.125
As 0.703 0.250 0.125
As 0.750 0.703 0.875
As 0.750 0.797 0.375
As 0.797 0.250 0.625
S 0.000 0.000 0.500
S 0.000 0.500 0.750
S 0.500 0.000 0.250
S 0.500 0.500 0.000